<a>
{
  "formula": "CsNbSn",
  "functional": "PBE",
  "state": "optimized geometry",
  "cell": [[0.0000, 3.6485, 3.6485], [3.6485, 0.0000, 3.6485], [3.6485, 3.6485, 0.0000]],
  "species": ["Cs", "Nb", "Sn"],
  "frac_coords": [[0.0000, 0.0000, 0.0000], [0.7500, 0.7500, 0.7500], [0.5000, 0.5000, 0.5000]]
}

<b>
{
  "formula": "CsNbSn",
  "functional": "PBE",
  "state": "optimized geometry",
  "cell": [[0.0000, 3.8539, 3.8539], [3.8539, 0.0000, 3.8539], [3.8539, 3.8539, 0.0000]],
  "species": ["Cs", "Nb", "Sn"],
  "frac_coords": [[0.0000, 0.0000, 0.0000], [0.7500, 0.7500, 0.7500], [0.2500, 0.2500, 0.2500]]
}

It comes down to <a>, which is 868 meV/atom more stable than the next structure.

<a>
{
  "formula": "CsNdNp",
  "functional": "PBE",
  "state": "optimized geometry",
  "cell": [[0.0000, 4.1302, 4.1302], [4.1302, 0.0000, 4.1302], [4.1302, 4.1302, 0.0000]],
  "species": ["Cs", "Nd", "Np"],
  "frac_coords": [[0.0000, 0.0000, 0.0000], [0.7500, 0.7500, 0.7500], [0.5000, 0.5000, 0.5000]]
}

<b>
{
  "formula": "CsNdNp",
  "functional": "PBE",
  "state": "optimized geometry",
  "cell": [[0.0000, 3.8591, 3.8591], [3.8591, 0.0000, 3.8591], [3.8591, 3.8591, 0.0000]],
  "species": ["Cs", "Nd", "Np"],
  "frac_coords": [[0.0000, 0.0000, 0.0000], [0.2500, 0.2500, 0.2500], [0.7500, 0.7500, 0.7500]]
}

It comes down to <a>, which is 70 meV/atom more stable than the next structure.

<a>
{
  "formula": "CsNdPO",
  "functional": "PBE",
  "state": "optimized geometry",
  "cell": [[4.5070, 0.0000, 0.0000], [0.0000, 4.5070, 0.0000], [0.0000, 0.0000, 10.1880]],
  "species": ["Cs", "Cs", "Nd", "Nd", "P", "P", "O", "O"],
  "frac_coords": [[0.2500, 0.7500, 0.0000], [0.7500, 0.2500, 0.0000], [0.2500, 0.2500, 0.4155], [0.7500, 0.7500, 0.5845], [0.2500, 0.2500, 0.7497], [0.7500, 0.7500, 0.2503], [0.2500, 0.7500, 0.5000], [0.7500, 0.2500, 0.5000]]
}

<b>
{
  "formula": "CsNdPO",
  "functional": "PBE",
  "state": "optimized geometry",
  "cell": [[6.0726, 0.0000, 0.0000], [0.0000, 6.0726, 0.0000], [0.0000, 0.0000, 5.3893]],
  "species": ["Cs", "Cs", "Nd", "Nd", "P", "P", "O", "O"],
  "frac_coords": [[0.2500, 0.2500, 0.0049], [0.7500, 0.7500, 0.9951], [0.2500, 0.7500, 0.5000], [0.7500, 0.2500, 0.5000], [0.2500, 0.2500, 0.5055], [0.7500, 0.7500, 0.4945], [0.2500, 0.7500, 0.0000], [0.7500, 0.2500, 0.0000]]
}

It comes down to <a>, which is 245 meV/atom more stable than the next structure.

<a>
{
  "formula": "CsNdSO",
  "functional": "PBE",
  "state": "optimized geometry",
  "cell": [[8.8328, 0.0000, 0.0000], [0.0000, 9.7807, 0.0000], [0.0000, 0.0000, 5.7823]],
  "species": ["Cs", "Cs", "Cs", "Cs", "Nd", "Nd", "Nd", "Nd", "S", "S", "S", "S", "O", "O", "O", "O"],
  "frac_coords": [[0.1150, 0.0995, 0.0000], [0.3850, 0.0995, 0.5000], [0.6150, 0.9005, 0.0000], [0.8850, 0.9005, 0.5000], [0.0704, 0.6363, 0.0034], [0.4296, 0.6363, 0.5034], [0.5704, 0.3637, 0.0034], [0.9296, 0.3637, 0.5034], [0.1050, 0.6079, 0.5037], [0.3950, 0.6079, 0.0037], [0.6050, 0.3921, 0.5037], [0.8950, 0.3921, 0.0037], [0.0359, 0.1759, 0.5028], [0.4641, 0.1759, 0.0028], [0.5359, 0.8241, 0.5028], [0.9641, 0.8241, 0.0028]]
}

<b>
{
  "formula": "CsNdSO",
  "functional": "PBE",
  "state": "optimized geometry",
  "cell": [[3.9169, 0.0000, 0.0000], [-1.9585, 3.3921, 0.0000], [0.0000, 0.0000, 15.0533]],
  "species": ["Cs", "Cs", "Nd", "Nd", "S", "S", "O", "O"],
  "frac_coords": [[0.3333, 0.6667, 0.2210], [0.6667, 0.3333, 0.7790], [0.0000, 0.0000, 0.0000], [0.0000, 0.0000, 0.5000], [0.3333, 0.6667, 0.6098], [0.6667, 0.3333, 0.3902], [0.3333, 0.6667, 0.9271], [0.6667, 0.3333, 0.0729]]
}

<c>
{
  "formula": "CsNdSO",
  "functional": "PBE",
  "state": "optimized geometry",
  "cell": [[8.1987, 0.0000, 0.0000], [0.0000, 7.6770, 0.0000], [-1.5275, 0.0000, 6.7488]],
  "species": ["Cs", "Cs", "Cs", "Cs", "Nd", "Nd", "Nd", "Nd", "S", "S", "S", "S", "O", "O", "O", "O"],
  "frac_coords": [[0.0800, 0.2335, 0.4942], [0.0800, 0.2665, 0.9942], [0.9200, 0.7335, 0.0058], [0.9200, 0.7665, 0.5058], [0.4747, 0.6275, 0.7719], [0.4747, 0.8725, 0.2719], [0.5253, 0.1275, 0.7281], [0.5253, 0.3725, 0.2281], [0.2669, 0.5912, 0.3591], [0.2669, 0.9088, 0.8591], [0.7331, 0.0912, 0.1409], [0.7331, 0.4088, 0.6409], [0.4037, 0.1464, 0.3822], [0.4037, 0.3536, 0.8822], [0.5963, 0.6464, 0.1178], [0.5963, 0.8536, 0.6178]]
}

<d>
{
  "formula": "CsNdSO",
  "functional": "PBE",
  "state": "optimized geometry",
  "cell": [[4.5963, 0.0000, 0.0000], [0.0000, 8.7044, 0.0000], [0.0000, 0.0000, 6.9550]],
  "species": ["Cs", "Cs", "Nd", "Nd", "S", "S", "O", "O"],
  "frac_coords": [[0.0000, 0.1890, 0.0000], [0.0000, 0.8110, 0.5000], [0.5000, 0.3754, 0.4412], [0.5000, 0.6246, 0.9412], [0.0000, 0.2099, 0.5091], [0.0000, 0.7901, 0.0091], [0.5000, 0.4204, 0.1282], [0.5000, 0.5796, 0.6282]]
}

It comes down to <c>, which is 60 meV/atom more stable than the next structure.

<a>
{
  "formula": "CsNdTeO",
  "functional": "PBE",
  "state": "optimized geometry",
  "cell": [[5.0481, 0.0000, 0.0000], [0.0000, 9.1480, 0.0000], [0.0000, 0.0000, 7.3454]],
  "species": ["Cs", "Cs", "Nd", "Nd", "Te", "Te", "O", "O"],
  "frac_coords": [[0.0000, 0.2076, 0.0000], [0.0000, 0.7924, 0.5000], [0.5000, 0.3933, 0.4159], [0.5000, 0.6067, 0.9159], [0.0000, 0.2096, 0.5037], [0.0000, 0.7904, 0.0037], [0.5000, 0.4285, 0.1161], [0.5000, 0.5715, 0.6161]]
}

<b>
{
  "formula": "CsNdTeO",
  "functional": "PBE",
  "state": "optimized geometry",
  "cell": [[4.5672, 0.0000, 0.0000], [0.0000, 4.5672, 0.0000], [0.0000, 0.0000, 11.0117]],
  "species": ["Cs", "Cs", "Nd", "Nd", "Te", "Te", "O", "O"],
  "frac_coords": [[0.2500, 0.7500, 0.0000], [0.7500, 0.2500, 0.0000], [0.2500, 0.2500, 0.4213], [0.7500, 0.7500, 0.5787], [0.2500, 0.2500, 0.7492], [0.7500, 0.7500, 0.2508], [0.2500, 0.7500, 0.5000], [0.7500, 0.2500, 0.5000]]
}

<c>
{
  "formula": "CsNdTeO",
  "functional": "PBE",
  "state": "optimized geometry",
  "cell": [[9.1072, 0.0000, 0.0000], [0.0000, 7.9054, 0.0000], [-0.8692, 0.0000, 6.9854]],
  "species": ["Cs", "Cs", "Cs", "Cs", "Nd", "Nd", "Nd", "Nd", "Te", "Te", "Te", "Te", "O", "O", "O", "O"],
  "frac_coords": [[0.1070, 0.1792, 0.4454], [0.1070, 0.3208, 0.9454], [0.8930, 0.6792, 0.0546], [0.8930, 0.8208, 0.5546], [0.4815, 0.6330, 0.7890], [0.4815, 0.8670, 0.2890], [0.5185, 0.1330, 0.7110], [0.5185, 0.3670, 0.2110], [0.2457, 0.5930, 0.3885], [0.2457, 0.9070, 0.8885], [0.7543, 0.0930, 0.1115], [0.7543, 0.4070, 0.6115], [0.4295, 0.1479, 0.3924], [0.4295, 0.3521, 0.8924], [0.5705, 0.6479, 0.1076], [0.5705, 0.8521, 0.6076]]
}

It comes down to <c>, which is 98 meV/atom more stable than the next structure.

<a>
{
  "formula": "CsNdSnSe3",
  "functional": "PBE",
  "state": "optimized geometry",
  "cell": [[16.7545, 0.0000, 0.0000], [0.0000, 4.3008, 0.0000], [0.0000, 0.0000, 12.4368]],
  "species": ["Cs", "Cs", "Cs", "Cs", "Nd", "Nd", "Nd", "Nd", "Sn", "Sn", "Sn", "Sn", "Se", "Se", "Se", "Se", "Se", "Se", "Se", "Se", "Se", "Se", "Se", "Se"],
  "frac_coords": [[0.2330, 0.2500, 0.0749], [0.2670, 0.7500, 0.5749], [0.7330, 0.2500, 0.4251], [0.7670, 0.7500, 0.9251], [0.0024, 0.7500, 0.6472], [0.4976, 0.2500, 0.1472], [0.5024, 0.7500, 0.8528], [0.9976, 0.2500, 0.3528], [0.0362, 0.2500, 0.9102], [0.4638, 0.7500, 0.4102], [0.5362, 0.2500, 0.5898], [0.9638, 0.7500, 0.0898], [0.0853, 0.7500, 0.2292], [0.0962, 0.2500, 0.5459], [0.1246, 0.7500, 0.8270], [0.3754, 0.2500, 0.3270], [0.4038, 0.7500, 0.0459], [0.4147, 0.2500, 0.7292], [0.5853, 0.7500, 0.2708], [0.5962, 0.2500, 0.9541], [0.6246, 0.7500, 0.6730], [0.8754, 0.2500, 0.1730], [0.9038, 0.7500, 0.4541], [0.9147, 0.2500, 0.7708]]
}

<b>
{
  "formula": "CsNdSnSe3",
  "functional": "PBE",
  "state": "optimized geometry",
  "cell": [[2.1429, -8.5417, 0.0000], [2.1429, 8.5417, 0.0000], [0.0000, 0.0000, 12.2586]],
  "species": ["Cs", "Cs", "Nd", "Nd", "Sn", "Sn", "Se", "Se", "Se", "Se", "Se", "Se"],
  "frac_coords": [[0.1996, 0.8004, 0.7500], [0.8004, 0.1996, 0.2500], [0.5000, 0.5000, 0.0000], [0.5000, 0.5000, 0.5000], [0.1002, 0.8998, 0.2500], [0.8998, 0.1002, 0.7500], [0.1175, 0.8825, 0.0139], [0.1175, 0.8825, 0.4861], [0.4934, 0.5066, 0.2500], [0.5066, 0.4934, 0.7500], [0.8825, 0.1175, 0.5139], [0.8825, 0.1175, 0.9861]]
}

It comes down to <a>, which is 109 meV/atom more stable than the next structure.